(1)
Compound: Cs3RbAu
Source: the Alexandria database
Functional: GGA-PBE
Structure: relaxed

Values from the calculation:
ΔE_f in eV/atom: -0.15
Density of states at the Fermi level in states/eV/f.u.: 4.26
SG: P2_1/m, No. 11
Offset from the most stable computed form in eV/atom: 0.000
Total DFT energy (no corrections) in eV per atom: -1.508

Cell: 8.996 10.529 9.012 Å, 90.00 109.61 90.00°
Positions (direct):
Cs 0.239 0.000 0.238
Cs 0.239 0.500 0.238
Cs 0.241 0.250 0.756
Cs 0.759 0.750 0.244
Cs 0.761 0.000 0.762
Cs 0.761 0.500 0.762
Rb 0.245 0.750 0.755
Rb 0.755 0.250 0.245
Au 0.005 0.750 0.996
Au 0.995 0.250 0.004

(2)
Compound: K2BePbCl6
Source: the Alexandria database
Functional: GGA-PBE
Structure: relaxed

Values from the calculation:
Formation energy (no corrections) in meV/atom: -1531.1
Density of states at the Fermi level in states/eV/f.u.: 0.00
SG: R3, No. 146
Total DFT energy (no corrections) in eV per atom: -3.602

Cell: 8.568 8.568 8.568 Å, 50.82 50.82 50.82°
Positions (direct):
K 0.000 0.000 0.000
K 0.491 0.491 0.491
Be 0.259 0.259 0.259
Pb 0.698 0.698 0.698
Cl 0.051 0.792 0.431
Cl 0.288 0.508 0.984
Cl 0.431 0.051 0.792
Cl 0.508 0.984 0.288
Cl 0.792 0.431 0.051
Cl 0.984 0.288 0.508

(3)
Compound: PmHoCd2Hg4
Source: the Alexandria database
Functional: GGA-PBE
Structure: relaxed

Values from the calculation:
ΔE_f in eV/atom: -0.38
Density of states at the Fermi level in states/eV/f.u.: 3.46
SG: R-3m, No. 166
Total DFT energy (no corrections) in eV per atom: -1.928

Cell: 8.905 8.905 8.905 Å, 33.42 33.42 33.42°
Positions (direct):
Pm 0.000 0.000 0.000
Ho 0.500 0.500 0.500
Cd 0.250 0.250 0.250
Cd 0.750 0.750 0.750
Hg 0.127 0.127 0.127
Hg 0.378 0.378 0.378
Hg 0.622 0.622 0.622
Hg 0.873 0.873 0.873